Entry 1:
Density functional theory data (PBE) for Y2FeSi3 after structural relaxation.

Calculated values
The formation energy without anion corrections comes out at -0.64 eV per atom. As for the space group: Fmmm (69). The calculation puts the density of states at the Fermi level at 9.910 states/eV/cell. As for the theoretical density: 4.68 g cm⁻³. As for the total magnetization: 0.21 μB per atom. The calculated volume comes out at 18.8 A^3/atom.

Cell lengths 5.684, 5.684, 8.042 Å; angles 110.50, 110.50, 90.51 degrees
Each line ends with the local moment (μB).
Positions (direct):
Y1 0.250 0.750 0.500  -0.04
Y2 0.749 0.749 0.000  0.01
Y3 0.750 0.250 0.500  -0.04
Y4 0.251 0.251 0.000  0.01
Fe1 0.335 0.335 0.670  1.31
Fe2 0.665 0.665 0.330  1.31
Si1 0.657 0.171 0.828  -0.01
Si2 0.829 0.343 0.172  -0.01
Si3 0.343 0.829 0.172  -0.01
Si4 0.171 0.657 0.828  -0.01
Si5 0.828 0.828 0.656  0.00
Si6 0.172 0.172 0.344  0.00

=====

Entry 2:
Density functional theory data (PBE) for Pm6Sb5Te after structural relaxation.

Calculated values
The formation energy without anion corrections comes out at -1.26 eV per atom. As for the space group: C2/m (12). The calculation puts the density of states at the Fermi level at 3.437 states/eV/cell. As for the theoretical density: 6.95 g cm⁻³. As for the total magnetization: 0.00 μB per atom. The calculated volume comes out at 32.0 A^3/atom.

Cell lengths 7.776, 7.776, 7.772 Å; angles 99.61, 99.61, 119.94 degrees
Positions (direct):
Sb1 0.835 0.165 0.500
Sb2 0.667 0.333 0.000
Sb3 0.500 0.500 0.500
Sb4 0.333 0.667 0.000
Sb5 0.165 0.835 0.500
Te1 0.000 0.000 0.000
Pm1 0.422 0.084 0.253
Pm2 0.916 0.578 0.747
Pm3 0.254 0.254 0.748
Pm4 0.746 0.746 0.252
Pm5 0.084 0.422 0.253
Pm6 0.578 0.916 0.747

=====

Entry 3:
Density functional theory data (PBE) for Ca2SnAsH after structural relaxation.

Calculated values
As for the space group: P4/mmm (123). As for the total energy: -3.606 eV per atom. The calculation puts the density of states at the Fermi level at 2.248 states/eV/cell. As for the theoretical density: 4.27 g cm⁻³. As for the total magnetization: 0.00 μB per atom. The calculated volume comes out at 21.4 A^3/atom.

Cell lengths 4.837, 4.573, 4.837 Å; angles 90.00, 90.00, 90.00 degrees
Positions (direct):
H1 0.000 0.000 0.000
As1 0.000 0.500 0.000
Ca1 0.000 0.000 0.500
Ca2 0.500 0.000 0.000
Sn1 0.500 0.500 0.500

=====

Entry 4:
Density functional theory data (PBE) for K3Ac3ZnO8 after structural relaxation.

Calculated values
The formation energy without anion corrections comes out at -2.08 eV per atom. As for the space group: C2/m (12). The calculation puts the density of states at the Fermi level at 5.249 states/eV/cell. As for the theoretical density: 5.37 g cm⁻³. As for the total magnetization: 0.14 μB per atom. The calculated volume comes out at 20.4 A^3/atom.

Cell lengths 7.706, 7.360, 7.735 Å; angles 119.18, 90.00, 121.57 degrees
Each line ends with the local moment (μB).
Positions (direct):
K1 0.000 0.000 0.000  0.00
K2 0.000 0.500 0.000  0.01
K3 0.500 0.500 0.000  0.01
Ac1 0.500 0.000 0.500  0.01
Ac2 0.500 0.500 0.500  0.09
Ac3 0.000 0.500 0.500  0.09
Zn1 0.000 0.000 0.500  0.02
O1 0.264 0.527 0.298  0.05
O2 0.736 0.473 0.702  0.05
O3 0.813 0.626 0.344  0.10
O4 0.187 0.374 0.656  0.10
O5 0.764 0.045 0.298  0.32
O6 0.236 0.955 0.702  0.32
O7 0.282 0.045 0.298  0.32
O8 0.718 0.955 0.702  0.32

=====

Entry 5:
Density functional theory data (PBE) for ZrPtW2 after structural relaxation.

Calculated values
The formation energy comes out at 0.003 eV per atom. As for the space group: Cm (8). The energy above the most stable polymorph in this dataset comes out at 0.1739 eV per atom. The calculation puts the density of states at the Fermi level at 2.715 states/eV/cell. As for the theoretical density: 15.66 g cm⁻³. As for the total magnetization: 0.00 μB per atom. The calculated volume comes out at 17.3 A^3/atom.

Cell lengths 5.022, 5.022, 5.229 Å; angles 83.13, 83.13, 32.00 degrees
Positions (direct):
Pt1 0.741 0.741 0.734
W1 0.013 0.013 0.023
W2 0.257 0.257 0.219
Zr1 0.489 0.489 0.524

=====

Entry 6:
Density functional theory data (PBE) for Nd4Sm5In2 after structural relaxation.

Calculated values
The formation energy comes out at 0.172 eV per atom. As for the space group: R-3m (166). The calculation puts the density of states at the Fermi level at 15.473 states/eV/cell. As for the theoretical density: 6.66 g cm⁻³. As for the total magnetization: 0.00 μB per atom. The calculated volume comes out at 35.3 A^3/atom.

Cell lengths 5.331, 5.331, 16.097 Å; angles 80.47, 80.47, 60.00 degrees
Positions (direct):
Nd1 0.727 0.727 0.820
Nd2 0.573 0.573 0.280
Nd3 0.427 0.427 0.720
Nd4 0.273 0.273 0.180
Sm1 0.804 0.804 0.589
Sm2 0.648 0.648 0.055
Sm3 0.500 0.500 0.500
Sm4 0.352 0.352 0.945
Sm5 0.196 0.196 0.411
In1 0.119 0.119 0.642
In2 0.881 0.881 0.358

=====

Entry 7:
Density functional theory data (PBE) for Rb2Li2Zr after structural relaxation.

Calculated values
The formation energy comes out at 0.840 eV per atom. As for the space group: P4/mbm (127). The energy above the most stable polymorph in this dataset comes out at 0.0000 eV per atom. The calculation puts the density of states at the Fermi level at 9.628 states/eV/cell. As for the theoretical density: 2.45 g cm⁻³. As for the total magnetization: 0.47 μB per atom. The calculated volume comes out at 37.4 A^3/atom.

Cell lengths 10.289, 10.289, 3.528 Å; angles 90.00, 90.00, 90.00 degrees
Each line ends with the local moment (μB).
Positions (direct):
Rb1 0.141 0.641 0.500  0.01
Rb2 0.641 0.859 0.500  0.01
Rb3 0.859 0.359 0.500  0.01
Rb4 0.359 0.141 0.500  0.01
Zr1 0.000 0.000 0.000  1.29
Zr2 0.500 0.500 0.000  1.29
Li1 0.330 0.830 0.000  -0.01
Li2 0.830 0.670 0.000  -0.01
Li3 0.670 0.170 0.000  -0.01
Li4 0.170 0.330 0.000  -0.01

=====

Entry 8:
Density functional theory data (PBE) for Ce3SmY2N6 after structural relaxation.

Calculated values
The formation energy without anion corrections comes out at -1.56 eV per atom. As for the space group: C2/m (12). The calculation puts the density of states at the Fermi level at 7.495 states/eV/cell. As for the theoretical density: 7.34 g cm⁻³. As for the total magnetization: 0.06 μB per atom. The calculated volume comes out at 15.7 A^3/atom.

Cell lengths 6.135, 6.135, 6.129 Å; angles 99.61, 99.61, 119.99 degrees
Each line ends with the local moment (μB).
Positions (direct):
Ce1 0.167 0.833 0.500  0.19
Ce2 0.833 0.167 0.500  0.19
Ce3 0.500 0.500 0.500  0.20
Sm1 0.000 0.000 0.000  0.01
Y1 0.333 0.667 0.000  0.01
Y2 0.667 0.333 0.000  0.01
N1 0.916 0.576 0.747  -0.01
N2 0.745 0.745 0.252  -0.01
N3 0.084 0.424 0.253  -0.01
N4 0.576 0.916 0.747  -0.01
N5 0.255 0.255 0.748  -0.01
N6 0.424 0.084 0.253  -0.01

=====

Please write out number 7 again, unchanged.
Density functional theory data (PBE) for Rb2Li2Zr after structural relaxation.

Calculated values
The formation energy comes out at 0.840 eV per atom. As for the space group: P4/mbm (127). The energy above the most stable polymorph in this dataset comes out at 0.0000 eV per atom. The calculation puts the density of states at the Fermi level at 9.628 states/eV/cell. As for the theoretical density: 2.45 g cm⁻³. As for the total magnetization: 0.47 μB per atom. The calculated volume comes out at 37.4 A^3/atom.

Cell lengths 10.289, 10.289, 3.528 Å; angles 90.00, 90.00, 90.00 degrees
Each line ends with the local moment (μB).
Positions (direct):
Rb1 0.141 0.641 0.500  0.01
Rb2 0.641 0.859 0.500  0.01
Rb3 0.859 0.359 0.500  0.01
Rb4 0.359 0.141 0.500  0.01
Zr1 0.000 0.000 0.000  1.29
Zr2 0.500 0.500 0.000  1.29
Li1 0.330 0.830 0.000  -0.01
Li2 0.830 0.670 0.000  -0.01
Li3 0.670 0.170 0.000  -0.01
Li4 0.170 0.330 0.000  -0.01